VASP calculation (PBE) on a relaxed Tm4Ni2H crystal.

Calculated values
**Raw total energy**: -4.973 eV/atom
**Total magnetic moment**: 0.00 μB/cell

Lattice parameters (Å, degrees): 7.404 7.404 7.404 143.90 143.90 51.98
Positions (direct):
Tm1 0.000 0.500 0.500
Tm2 0.192 0.192 0.000
Tm3 0.500 0.000 0.500
Tm4 0.808 0.808 0.000
Ni1 0.385 0.385 0.000
Ni2 0.615 0.615 0.000
H1 0.000 0.000 0.000

---

VASP calculation (PBE) on a relaxed MgIn2Ga2Pt5 crystal.

Calculated values
**ΔH_f (0 K)**: -0.44 eV per atom
**Total magnetic moment**: 0.00 μB/cell

Lattice parameters (Å, degrees): 9.389 9.389 3.920 90.00 90.00 90.00
Positions (direct):
Mg1 0.000 0.000 0.000
Mg2 0.500 0.500 0.000
In1 0.173 0.327 0.000
In2 0.327 0.827 0.000
In3 0.673 0.173 0.000
In4 0.827 0.673 0.000
Ga1 0.126 0.626 0.000
Ga2 0.374 0.126 0.000
Ga3 0.626 0.874 0.000
Ga4 0.874 0.374 0.000
Pt1 0.000 0.500 0.500
Pt2 0.084 0.804 0.500
Pt3 0.196 0.084 0.500
Pt4 0.304 0.584 0.500
Pt5 0.416 0.304 0.500
Pt6 0.500 0.000 0.500
Pt7 0.584 0.696 0.500
Pt8 0.696 0.416 0.500
Pt9 0.804 0.916 0.500
Pt10 0.916 0.196 0.500

---

VASP calculation (PBE) on a relaxed TlFeBr2 crystal.

Calculated values
**Raw formation energy**: -0.161 eV/atom
**Polymorph energy (0 for the lowest one)**: 0.104 eV per atom
**Total magnetic moment**: 3.46 μB/cell

Lattice parameters (Å, degrees): 3.942 3.942 9.611 90.00 90.00 126.42
Positions (direct):
Tl1 0.000 0.000 0.000
Fe1 0.000 0.000 0.500
Br1 0.500 0.500 0.315
Br2 0.500 0.500 0.685

---

VASP calculation (PBE) on a relaxed Rb2BaSnBr6 crystal.

Calculated values
**Raw formation energy**: -1.523 eV/atom
**Polymorph energy (0 for the lowest one)**: 0.066 eV per atom
**Total magnetic moment**: 0.00 μB/cell

Lattice parameters (Å, degrees): 8.641 8.641 8.641 60.00 60.00 60.00
Positions (direct):
Rb1 0.250 0.250 0.250
Rb2 0.750 0.750 0.750
Ba1 0.000 0.000 0.000
Sn1 0.500 0.500 0.500
Br1 0.258 0.258 0.742
Br2 0.258 0.742 0.258
Br3 0.258 0.742 0.742
Br4 0.742 0.258 0.258
Br5 0.742 0.258 0.742
Br6 0.742 0.742 0.258